A plane-wave DFT calculation with GGA+U was carried out for crystalline BaBeMoO5 at its relaxed geometry.

a b c (Å): 5.7276 5.7276 7.4449
angles (deg): 104.65 104.65 105.59
Element x y z (fractional)
Ba: 0.3366 0.6634 0.2500
Ba: 0.6634 0.3366 0.7500
Be: 0.6924 0.3076 0.2500
Be: 0.3076 0.6924 0.7500
Mo: 0.0000 0.0000 0.5000
Mo: 0.0000 0.0000 0.0000
O: 0.0557 0.9443 0.2500
O: 0.9443 0.0557 0.7500
O: 0.8825 0.2783 0.1105
O: 0.1175 0.7217 0.8895
O: 0.7217 0.1175 0.3895
O: 0.2783 0.8825 0.6105
O: 0.7824 0.6334 0.3942
O: 0.2176 0.3666 0.6058
O: 0.3666 0.2176 0.1058
O: 0.6334 0.7824 0.8942

Properties
symmetry	C2/c (15)
calculated density	5009	kg/m3
spin magnetization	0.0000	μB per atom
electronic total energy	-109.636	eV per cell